Record 1
The following is a DFT calculation (GGA-PBE) of crystalline Ac2TaBeO6 at its relaxed geometry.

## Properties
SG   C2/m (12)
Uncorrected formation energy   -2.87 eV per atom
Size of the total moment   0.9 Bohr magnetons per cell
Calculated volume   123.41 Å³/cell

Cell and atoms, written as CIF:
```
data_Ac2TaBeO6
_chemical_formula_sum 'Ac2 Ta1 Be1 O6'
_cell_length_a 5.607
_cell_length_b 5.608
_cell_length_c 5.585
_cell_angle_alpha 59.87
_cell_angle_beta 59.87
_cell_angle_gamma 90.27
_symmetry_space_group_name_H-M 'P 1'
_symmetry_Int_Tables_number 1
_symmetry_space_group_name_Hall 'P 1'
loop_
_atom_site_label
_atom_site_type_symbol
_atom_site_fract_x
_atom_site_fract_y
_atom_site_fract_z
Ac1 Ac 0.750 0.250 0.500
O1 O 0.258 0.258 0.002
O2 O 0.740 0.740 0.520
O3 O 0.742 0.258 0.000
Ac2 Ac 0.250 0.750 0.500
O4 O 0.258 0.742 0.000
O5 O 0.260 0.260 0.480
O6 O 0.742 0.742 0.998
Be1 Be 0.500 0.500 0.000
Ta1 Ta 0.000 0.000 0.000
```



Record 2
The following is a DFT calculation (GGA-PBE) of crystalline ZrCu2Pb at its relaxed geometry.

## Properties
SG   I-4m2 (119)
Formation energy from the elements   0.1837 eV per atom
Size of the total moment   0.0 Bohr magnetons per cell
Calculated volume   74.04 Å³/cell

Cell and atoms, written as CIF:
```
data_ZrCu2Pb
_chemical_formula_sum 'Zr1 Cu2 Pb1'
_cell_length_a 5.133
_cell_length_b 5.133
_cell_length_c 5.133
_cell_angle_alpha 131.61
_cell_angle_beta 131.61
_cell_angle_gamma 70.84
_symmetry_space_group_name_H-M 'P 1'
_symmetry_Int_Tables_number 1
_symmetry_space_group_name_Hall 'P 1'
loop_
_atom_site_label
_atom_site_type_symbol
_atom_site_fract_x
_atom_site_fract_y
_atom_site_fract_z
Zr1 Zr 0.750 0.250 0.500
Pb1 Pb 0.500 0.500 0.000
Cu1 Cu 0.250 0.750 0.500
Cu2 Cu 0.000 0.000 0.000
```